Below is crystalline Ca8Hg2Rh3 at its relaxed geometry, with properties calculated at the PBE level.

Properties
Space group: Cmmm
DFT total energy: -43.24 eV for the cell shown
Formation enthalpy at 0 K: -0.352 eV per atom

a b c (Å): 5.008 9.965 8.929
angles (deg): 123.89 90.00 90.00
Sites, in units of the cell vectors:
Rh  0.000  0.751  0.000
Ca  0.000  0.612  0.224
Ca  0.500  0.359  0.223
Ca  0.000  0.112  0.223
Hg  0.500  0.751  0.503
Ca  0.500  0.641  0.777
Ca  0.500  0.136  0.777
Rh  0.000  0.249  0.000
Ca  0.000  0.388  0.776
Rh  0.500  0.000  0.000
Ca  0.500  0.864  0.223
Ca  0.000  0.888  0.777
Hg  0.500  0.249  0.497